The following is a DFT calculation (PBE+U) of a relaxed structure of BaCrGe2O6.

a = 7.136 Å, b = 7.136 Å, c = 7.136 Å
α = 42.69°, β = 42.69°, γ = 42.69°
Positions (direct):
Ba (0.000, 0.000, 0.000)
Cr (0.500, 0.500, 0.500)
Ge (0.174, 0.174, 0.174)
Ge (0.826, 0.826, 0.826)
O (0.091, 0.807, 0.441)
O (0.193, 0.559, 0.909)
O (0.441, 0.091, 0.807)
O (0.559, 0.909, 0.193)
O (0.807, 0.441, 0.091)
O (0.909, 0.193, 0.559)

Values from the calculation:
As for the density of states at the Fermi level: 5.75 states/eV per cell. The value obtained for the total energy is -66.789 eV/cell.